Entry 1:
Here is a relaxed SmEr3Rh crystal from the Alexandria database. Energies are from PBE.

```
SmEr3Rh
1.0
6.1366 -0.0001 -0.0001
0.0003 6.4895 -0.0013
0.0001 0.0007 7.5173
Er Sm Rh
6 2 2
Direct
0.9267 0.4929 0.9491 Er
0.4169 0.3289 0.2008 Er
0.9267 0.4929 0.4525 Er
0.9169 0.0239 0.7007 Er
0.4268 0.8599 0.9524 Er
0.4267 0.8599 0.4492 Er
0.4331 0.3228 0.7008 Sm
0.9331 0.0300 0.2007 Sm
0.6747 0.6696 0.2008 Rh
0.1747 0.6832 0.7008 Rh
```

Output
Formation enthalpy at 0 K, meV/atom: -309
Distance to the lowest polymorph of the same formula, meV/atom: 0

Entry 2:
Here is a relaxed SmEr2Rh3 crystal from the Alexandria database. Energies are from PBE.

```
SmEr2Rh3
1.0
-1.4173 -0.9415 4.5413
-0.9816 -3.1549 -3.5499
5.1551 -2.7684 1.0349
Rh Sm Er
3 1 2
Direct
0.3333 0.6667 0.1738 Rh
0.0000 0.0000 0.5000 Rh
0.6667 0.3333 0.8262 Rh
0.0000 0.0000 0.0000 Sm
0.3333 0.6667 0.6637 Er
0.6667 0.3333 0.3363 Er
```

Output
Formation enthalpy at 0 K, meV/atom: -858

Entry 3:
Here is a relaxed Sm2Er3Rh2 crystal from the Alexandria database. Energies are from PBE.

```
Sm2Er3Rh2
1.0
3.7652 0.0000 0.0000
-1.8826 6.0444 -0.4646
0.0000 -3.3754 8.3110
Sm Er Rh
2 3 2
Direct
0.1645 0.3289 0.8065 Sm
0.8355 0.6711 0.1935 Sm
0.6172 0.2344 0.4303 Er
0.5000 0.0000 0.0000 Er
0.3828 0.7656 0.5697 Er
0.1726 0.3452 0.2420 Rh
0.8274 0.6548 0.7580 Rh
```

Output
Formation enthalpy at 0 K, meV/atom: -579

Entry 4:
Here is a relaxed SmEr3Rh crystal from the Alexandria database. Energies are from PBE.

```
SmEr3Rh
1.0
-3.1553 1.6622 4.0167
1.6400 -4.1413 3.0021
4.0258 2.9899 1.9252
Er Sm Rh
3 1 1
Direct
0.0000 0.5000 0.0000 Er
0.0000 0.0000 0.5000 Er
0.5000 0.0000 0.0000 Er
0.5000 0.5000 0.5000 Sm
0.0000 0.0000 0.0000 Rh
```

Output
Formation enthalpy at 0 K, meV/atom: -264
Distance to the lowest polymorph of the same formula, meV/atom: 44

Entry 5:
Here is a relaxed Sm4Er3Rh4 crystal from the Alexandria database. Energies are from PBE.

```
Sm4Er3Rh4
1.0
3.6501 0.0000 0.0000
0.0000 8.9664 0.0000
-1.8251 -4.4832 8.1513
Er Rh Sm
3 4 4
Direct
0.0992 0.0992 0.1985 Er
0.0000 0.5000 0.0000 Er
0.9008 0.9008 0.8015 Er
0.2614 0.7614 0.5229 Rh
0.5000 0.2157 0.0000 Rh
0.7386 0.2386 0.4771 Rh
0.5000 0.7843 0.0000 Rh
0.3364 0.5224 0.6728 Sm
0.6636 0.8496 0.3272 Sm
0.6636 0.4776 0.3272 Sm
0.3364 0.1504 0.6728 Sm
```

Output
Formation enthalpy at 0 K, meV/atom: -569

Entry 6:
Here is a relaxed Sm2ErRh crystal from the Alexandria database. Energies are from PBE.

```
Sm2ErRh
1.0
-2.3102 2.4069 1.5034
-2.8580 -1.1828 1.9553
4.1953 0.6091 9.9248
Sm Rh Er
2 1 1
Direct
0.1092 0.1092 0.6725 Sm
0.8908 0.8908 0.3275 Sm
0.5000 0.5000 0.5000 Rh
0.0000 0.0000 0.0000 Er
```

Output
Formation enthalpy at 0 K, meV/atom: -83
Distance to the lowest polymorph of the same formula, meV/atom: 401

Entry 7:
Here is a relaxed SmEr5Rh4 crystal from the Alexandria database. Energies are from PBE.

```
SmEr5Rh4
1.0
3.4061 0.0000 0.0000
0.0000 3.4061 0.0000
0.0000 0.0000 19.1010
Rh Er Sm
4 5 1
Direct
0.0000 0.0000 0.4108 Rh
0.0000 0.0000 0.7692 Rh
0.0000 0.0000 0.2308 Rh
0.0000 0.0000 0.5892 Rh
0.5000 0.5000 0.3220 Er
0.5000 0.5000 0.1471 Er
0.5000 0.5000 0.5000 Er
0.5000 0.5000 0.6780 Er
0.5000 0.5000 0.8529 Er
0.0000 0.0000 0.0000 Sm
```

Output
Formation enthalpy at 0 K, meV/atom: -749
Distance to the lowest polymorph of the same formula, meV/atom: 0

Entry 8:
Here is a relaxed SmEr5Rh4 crystal from the Alexandria database. Energies are from PBE.

```
SmEr5Rh4
1.0
-1.8577 3.2855 -2.9615
-4.4617 -4.5621 -2.2624
0.7805 4.9832 8.9245
Rh Er Sm
4 5 1
Direct
0.3324 0.9163 0.6648 Rh
0.0017 0.2590 0.0035 Rh
0.6676 0.0837 0.3352 Rh
0.9983 0.7410 0.9965 Rh
0.8325 0.6677 0.6650 Er
0.8331 0.1684 0.6663 Er
0.1669 0.8316 0.3337 Er
0.5000 0.5000 0.0000 Er
0.1675 0.3323 0.3350 Er
0.5000 0.0000 0.0000 Sm
```

Output
Formation enthalpy at 0 K, meV/atom: -722
Distance to the lowest polymorph of the same formula, meV/atom: 27

Entry 9:
Here is a relaxed Sm2ErRh crystal from the Alexandria database. Energies are from PBE.

```
Sm2ErRh
1.0
-5.2106 1.1231 -3.3418
-1.1340 -7.1004 -0.6181
-5.2613 0.1225 8.2448
Rh Er Sm
4 4 8
Direct
0.9465 0.6207 0.7500 Rh
0.0535 0.3793 0.2500 Rh
0.5535 0.1207 0.7500 Rh
0.4465 0.8793 0.2500 Rh
0.8532 0.0372 0.2500 Er
0.6468 0.5372 0.2500 Er
0.1468 0.9628 0.7500 Er
0.3532 0.4628 0.7500 Er
0.3296 0.1790 0.4354 Sm
0.6704 0.8210 0.5646 Sm
0.6704 0.8210 0.9354 Sm
0.3296 0.1790 0.0646 Sm
0.8296 0.3210 0.9354 Sm
0.1704 0.6790 0.0646 Sm
0.8296 0.3210 0.5646 Sm
0.1704 0.6790 0.4354 Sm
```

Output
Formation enthalpy at 0 K, meV/atom: -484
Distance to the lowest polymorph of the same formula, meV/atom: 0

Entry 10:
Here is a relaxed SmEr2Rh2 crystal from the Alexandria database. Energies are from PBE.

```
SmEr2Rh2
1.0
4.0082 0.0000 -0.6145
0.0000 4.6789 0.0000
-0.1209 0.0000 12.5908
Er Rh Sm
4 4 2
Direct
0.9467 0.7500 0.8933 Er
0.0533 0.2500 0.1067 Er
0.7503 0.2500 0.5007 Er
0.2497 0.7500 0.4993 Er
0.5303 0.7500 0.0606 Rh
0.4697 0.2500 0.9394 Rh
0.1758 0.2500 0.3516 Rh
0.8242 0.7500 0.6484 Rh
0.6359 0.7500 0.2718 Sm
0.3641 0.2500 0.7282 Sm
```

Output
Formation enthalpy at 0 K, meV/atom: -630
Distance to the lowest polymorph of the same formula, meV/atom: 0

Entry 11:
Here is a relaxed Sm2ErSn3Rh4 crystal from the Alexandria database. Energies are from PBE.

```
Sm2ErSn3Rh4
1.0
4.3817 0.0000 0.0000
0.0000 4.3817 0.0000
0.0000 0.0000 11.4669
Rh Sm Sn Er
4 2 3 1
Direct
0.5000 0.0000 0.6464 Rh
0.0000 0.5000 0.3536 Rh
0.5000 0.5000 0.0000 Rh
0.0000 0.0000 0.0000 Rh
0.0000 0.5000 0.7688 Sm
0.5000 0.0000 0.2312 Sm
0.0000 0.0000 0.5000 Sn
0.5000 0.0000 0.8727 Sn
0.0000 0.5000 0.1273 Sn
0.5000 0.5000 0.5000 Er
```

Output
Formation enthalpy at 0 K, meV/atom: -747

Number 1: total magnetic moment 0.00 μB/cell. Number 2: total magnetic moment 0.00 μB/cell. Number 3: total magnetic moment 0.00 μB/cell. Number 4: total magnetic moment 0.03 μB/cell. Number 5: total magnetic moment 0.00 μB/cell. Number 6: total magnetic moment 0.04 μB/cell. Number 7: total magnetic moment 0.00 μB/cell. Number 8: total magnetic moment 0.00 μB/cell. Number 9: total magnetic moment 0.00 μB/cell. Number 10: total magnetic moment 0.00 μB/cell. Number 11: total magnetic moment 0.00 μB/cell.